Compound: Co3W
Source: the Alexandria database
Functional: PBEsol
Structure: optimized geometry

Summary:
Theoretical density: 13.464 g/cm³
Uncorrected energy: -9.387 eV/atom
SG: P6_3/mmc, No. 194
Magnetization: 1.41 μB/cell

The structure in POSCAR format:
```
Co3W
1.0
4.040 0.000 0.000
0.000 5.042 0.000
0.000 -2.521 4.367
Co W
6 2
direct
0.750 0.162 0.838
0.250 0.838 0.162
0.250 0.838 0.677
0.750 0.677 0.838
0.250 0.323 0.162
0.750 0.162 0.323
0.250 0.333 0.667
0.750 0.667 0.333
```

Compound: SrCoSe2
Source: the Alexandria database
Functional: PBEsol
Structure: optimized geometry

Summary:
Theoretical density: 6.120 g/cm³
Energy relative to the elements, uncorrected: -451 meV/atom
Uncorrected energy: -4.770 eV/atom
Excess energy over the best structure of this formula in the dataset: 0.23 eV per formula unit
SG: Fm-3m, No. 225
Magnetization: 2.75 μB/cell

The structure in POSCAR format:
```
SrCoSe2
1.0
4.889 0.000 0.000
2.444 4.234 0.000
2.444 1.411 3.992
Se Sr Co
2 1 1
direct
0.750 0.750 0.750
0.250 0.250 0.250
0.000 0.000 0.000
0.500 0.500 0.500
```

Compound: RuRhAu
Source: the Alexandria database
Functional: PBEsol
Structure: optimized geometry

Summary:
Theoretical density: 14.908 g/cm³
Uncorrected energy: -7.002 eV/atom
SG: Fmm2, No. 42
Magnetization: 0.00 μB/cell

The structure in POSCAR format:
```
RuRhAu
1.0
2.690 -0.004 0.000
-1.317 2.345 0.000
-0.686 -1.171 7.085
Ru Rh Au
1 1 1
direct
0.326 0.326 0.653
0.673 0.673 0.347
0.000 0.000 0.000
```

Compound: HfTaBe2W
Source: the Alexandria database
Functional: PBEsol
Structure: optimized geometry

Summary:
Theoretical density: 10.607 g/cm³
Uncorrected energy: -7.499 eV/atom
SG: P4/mmm, No. 123
Magnetization: 0.00 μB/cell

The structure in POSCAR format:
```
HfTaBe2W
1.0
4.305 0.000 0.000
0.000 4.305 0.000
0.000 0.000 4.742
Be W Hf Ta
2 1 1 1
direct
0.500 0.000 0.000
0.000 0.500 0.000
0.000 0.000 0.000
0.000 0.000 0.500
0.500 0.500 0.500
```

Compound: AlHI2O
Source: the Alexandria database
Functional: PBEsol
Structure: optimized geometry

Summary:
Theoretical density: 5.054 g/cm³
Uncorrected energy: -2.936 eV/atom
SG: P4/mmm, No. 123
Magnetization: 0.77 μB/cell

The structure in POSCAR format:
```
AlHI2O
1.0
2.876 0.000 0.000
0.000 5.833 0.000
0.000 0.000 5.833
Al I H O
1 2 1 1
direct
0.500 0.500 0.500
0.000 0.500 0.000
0.000 0.000 0.500
0.000 0.000 0.000
0.500 0.000 0.000
```

Compound: NbTe2SI
Source: the Alexandria database
Functional: PBEsol
Structure: optimized geometry

Summary:
Theoretical density: 6.139 g/cm³
Energy relative to the elements, uncorrected: 893 meV/atom
Uncorrected energy: -3.912 eV/atom
SG: P4/mmm, No. 123
Magnetization: 2.38 μB/cell

The structure in POSCAR format:
```
NbTe2SI
1.0
5.169 0.000 0.000
0.000 5.169 0.000
0.000 0.000 5.134
Nb Te S I
1 2 1 1
direct
0.500 0.500 0.500
0.000 0.500 0.000
0.500 0.000 0.000
0.000 0.000 0.000
0.000 0.000 0.500
```

Compound: FeSiGe2Ir
Source: the Alexandria database
Functional: PBEsol
Structure: optimized geometry

Summary:
Theoretical density: 6.830 g/cm³
Energy relative to the elements, uncorrected: 908 meV/atom
Uncorrected energy: -5.974 eV/atom
SG: P4/mmm, No. 123
Magnetization: 2.88 μB/cell

The structure in POSCAR format:
```
FeSiGe2Ir
1.0
4.560 0.000 0.000
0.000 4.740 0.000
0.000 0.000 4.740
Fe Ir Ge Si
1 1 2 1
direct
0.500 0.500 0.500
0.000 0.000 0.000
0.000 0.000 0.500
0.000 0.500 0.000
0.500 0.000 0.000
```

Compound: KIn2Pt2
Source: the Alexandria database
Functional: PBEsol
Structure: optimized geometry

Summary:
Theoretical density: 9.507 g/cm³
Uncorrected energy: -4.521 eV/atom
Excess energy over the best structure of this formula in the dataset: 0.28 eV per formula unit
SG: I4/mmm, No. 139
Magnetization: 0.00 μB/cell

The structure in POSCAR format:
```
KIn2Pt2
1.0
4.582 0.000 0.000
0.000 4.582 0.000
-2.291 -2.291 5.481
K In Pt
1 2 2
direct
0.000 0.000 0.000
0.250 0.750 0.500
0.750 0.250 0.500
0.383 0.383 0.765
0.617 0.617 0.235
```